1.
{"formula": "Nd8YBi6", "functional": "PBE", "state": "optimized geometry", "ef_ev_per_atom": -0.5948, "dos_at_fermi_per_ev_cell": 16.7, "sg": "R-3 (148)", "magnetic_moment_mub_per_fu": 0.00, "cell": [[8.337, 0.000, 0.000], [4.169, 7.220, 0.000], [4.169, 2.407, 8.810]], "species": ["Nd", "Bi", "Bi", "Nd", "Bi", "Nd", "Nd", "Nd", "Bi", "Y", "Nd", "Nd", "Nd", "Bi", "Bi"], "fractional_positions": [[0.539, 0.215, 0.366], [0.608, 0.933, 0.197], [0.933, 0.262, 0.197], [0.461, 0.785, 0.634], [0.067, 0.738, 0.803], [0.333, 0.333, 0.001], [0.785, 0.120, 0.634], [0.120, 0.461, 0.634], [0.738, 0.392, 0.803], [0.000, 0.000, 0.000], [0.667, 0.667, 0.999], [0.880, 0.539, 0.366], [0.215, 0.880, 0.366], [0.392, 0.067, 0.803], [0.262, 0.608, 0.197]]}

2.
{"formula": "NdDy2Er", "functional": "PBE", "state": "optimized geometry", "ef_ev_per_atom": 0.0208, "dos_at_fermi_per_ev_cell": 5.7, "sg": "I-4m2 (119)", "de_polymorph_mev_per_atom": 14.0, "magnetic_moment_mub_per_fu": 0.00, "cell": [[4.887, 0.000, -1.307], [-0.494, 4.680, -1.849], [-0.996, -0.440, 6.065]], "species": ["Nd", "Dy", "Er", "Dy"], "fractional_positions": [[0.250, 0.750, 0.500], [0.750, 0.250, 0.500], [0.500, 0.500, 0.000], [0.000, 0.000, 0.000]]}